An optimized crystal structure of NiHg2Os, computed with PBE.

- Uncorrected energy: -3.78 eV per atom
- Mass density: 15.29 Mg/m³
- Total magnetic moment: 0.0 μB per cell
- Relative energy among the computed polymorphs: 0.1240 eV/atom

Cell lengths 2.8662, 2.8662, 9.9200 Å; angles 90.00, 90.00, 119.96 degrees
Positions (direct):
Ni  0.0000  0.0000  0.0000
Hg  0.0000  0.0000  0.5373
Hg  0.5000  0.5000  0.2343
Os  0.5000  0.5000  0.8003

***

An optimized crystal structure of NiHg2Os, computed with PBE.

- Uncorrected energy: -3.66 eV per atom
- Mass density: 16.13 Mg/m³
- Total magnetic moment: 0.4 μB per cell
- Relative energy among the computed polymorphs: 0.2422 eV/atom

Cell lengths 4.6262, 4.6262, 3.1279 Å; angles 90.00, 90.00, 90.00 degrees
Positions (direct):
Ni  0.0000  0.0000  0.0000
Hg  0.0000  0.5000  0.5000
Hg  0.5000  0.0000  0.5000
Os  0.5000  0.5000  0.0000

***

An optimized crystal structure of NiHgOs2, computed with PBE.

- Uncorrected energy: -6.44 eV per atom
- Mass density: 17.81 Mg/m³
- Total magnetic moment: 0.0 μB per cell

Cell lengths 4.7287, 4.7287, 4.7287 Å; angles 130.56, 130.56, 72.51 degrees
Positions (direct):
Ni  0.0000  0.0000  0.0000
Hg  0.7500  0.2500  0.5000
Os  0.2500  0.7500  0.5000
Os  0.5000  0.5000  0.0000

***

An optimized crystal structure of Ni2HgOs, computed with PBE.

- Uncorrected energy: -5.23 eV per atom
- Mass density: 14.86 Mg/m³
- Total magnetic moment: 2.2 μB per cell

Cell lengths 4.5178, 4.5178, 4.5178 Å; angles 127.14, 127.14, 78.02 degrees
Positions (direct):
Ni  0.2500  0.7500  0.5000
Ni  0.7500  0.2500  0.5000
Hg  0.0000  0.0000  0.0000
Os  0.5000  0.5000  0.0000

***

An optimized crystal structure of NiHgOs, computed with PBE.

- Uncorrected energy: -4.87 eV per atom
- Mass density: 14.52 Mg/m³
- Total magnetic moment: 2.1 μB per cell
- Relative energy among the computed polymorphs: 0.3948 eV/atom

Cell lengths 4.1733, 4.1733, 4.1733 Å; angles 60.00, 60.00, 60.00 degrees
Positions (direct):
Ni  0.0000  0.0000  0.0000
Hg  0.7500  0.7500  0.7500
Os  0.2500  0.2500  0.2500

***

An optimized crystal structure of NiHg2Os, computed with PBE.

- Uncorrected energy: -3.91 eV per atom
- Mass density: 15.60 Mg/m³
- Total magnetic moment: 0.0 μB per cell
- Relative energy among the computed polymorphs: 0.0000 eV/atom

Cell lengths 2.8919, 2.8919, 8.2740 Å; angles 90.00, 90.00, 90.00 degrees
Positions (direct):
Ni  0.0000  0.0000  0.0000
Hg  0.0000  0.0000  0.4399
Hg  0.5000  0.5000  0.7628
Os  0.5000  0.5000  0.1759